1.
DFT (PBE) results for LiSnMo after structural relaxation.

a = 4.4934 Å, b = 4.4934 Å, c = 4.4934 Å
α = 60.00°, β = 60.00°, γ = 60.00°
Element x y z (fractional)
Li 0.0000 0.0000 0.0000
Sn 0.2500 0.2500 0.2500
Mo 0.5000 0.5000 0.5000

Calculated values
**Total magnetization**: 2.10 μB/f.u.
**Offset from the most stable computed form**: 0.00 eV per formula unit

2.
DFT (PBE) results for LiSn5Mo3 after structural relaxation.

a = 5.5272 Å, b = 5.5272 Å, c = 8.2778 Å
α = 90.00°, β = 90.00°, γ = 120.00°
Element x y z (fractional)
Li 0.0000 0.0000 0.0000
Sn 0.0000 0.0000 0.5000
Sn 0.3333 0.6667 0.2047
Sn 0.3333 0.6667 0.7953
Sn 0.6667 0.3333 0.2047
Sn 0.6667 0.3333 0.7953
Mo 0.0000 0.5000 0.5000
Mo 0.5000 0.0000 0.5000
Mo 0.5000 0.5000 0.5000

Calculated values
**Total magnetization**: 0.00 μB/f.u.
**Raw total energy**: -5.9202 eV/atom

3.
DFT (PBE) results for LiSn2Mo after structural relaxation.

a = 4.8055 Å, b = 4.8055 Å, c = 4.8055 Å
α = 60.00°, β = 60.00°, γ = 60.00°
Element x y z (fractional)
Li 0.0000 0.0000 0.0000
Sn 0.5000 0.5000 0.5000
Sn 0.7500 0.7500 0.7500
Mo 0.2500 0.2500 0.2500

Calculated values
**Total magnetization**: 0.30 μB/f.u.
**Raw total energy**: -4.6367 eV/atom

4.
DFT (PBE) results for SrLi2Mo after structural relaxation.

a = 5.1146 Å, b = 5.1146 Å, c = 5.1146 Å
α = 60.00°, β = 60.00°, γ = 60.00°
Element x y z (fractional)
Sr 0.0000 0.0000 0.0000
Li 0.5000 0.5000 0.5000
Li 0.7500 0.7500 0.7500
Mo 0.2500 0.2500 0.2500

Calculated values
**Total magnetization**: 3.27 μB/f.u.
**Raw total energy**: -3.2317 eV/atom

5.
DFT (PBE) results for LiTaMo2 after structural relaxation.

a = 4.4539 Å, b = 4.4539 Å, c = 4.4539 Å
α = 60.00°, β = 60.00°, γ = 60.00°
Element x y z (fractional)
Li 0.0000 0.0000 0.0000
Ta 0.2500 0.2500 0.2500
Mo 0.5000 0.5000 0.5000
Mo 0.7500 0.7500 0.7500

Calculated values
**Total magnetization**: 0.00 μB/f.u.
**Raw total energy**: -8.5676 eV/atom

6.
DFT (PBE) results for LiTa2Mo after structural relaxation.

a = 4.5247 Å, b = 4.5247 Å, c = 4.5247 Å
α = 60.00°, β = 60.00°, γ = 60.00°
Element x y z (fractional)
Li 0.0000 0.0000 0.0000
Ta 0.5000 0.5000 0.5000
Ta 0.7500 0.7500 0.7500
Mo 0.2500 0.2500 0.2500

Calculated values
**Total magnetization**: 0.00 μB/f.u.
**Raw total energy**: -8.7458 eV/atom

7.
DFT (PBE) results for LiTaTeMo after structural relaxation.

a = 4.5648 Å, b = 4.5648 Å, c = 4.5648 Å
α = 60.00°, β = 60.00°, γ = 60.00°
Element x y z (fractional)
Li 0.0000 0.0000 0.0000
Ta 0.7500 0.7500 0.7500
Te 0.5000 0.5000 0.5000
Mo 0.2500 0.2500 0.2500

Calculated values
**Total magnetization**: 0.00 μB/f.u.
**Offset from the most stable computed form**: 1.73 eV per formula unit

8.
DFT (PBE) results for LiTaTeMo after structural relaxation.

a = 4.5489 Å, b = 4.5489 Å, c = 4.5489 Å
α = 60.00°, β = 60.00°, γ = 60.00°
Element x y z (fractional)
Li 0.0000 0.0000 0.0000
Ta 0.7500 0.7500 0.7500
Te 0.2500 0.2500 0.2500
Mo 0.5000 0.5000 0.5000

Calculated values
**Total magnetization**: 0.00 μB/f.u.
**Offset from the most stable computed form**: 0.00 eV per formula unit

9.
DFT (PBE) results for LiTcMo2 after structural relaxation.

a = 4.3428 Å, b = 4.3428 Å, c = 4.3428 Å
α = 60.00°, β = 60.00°, γ = 60.00°
Element x y z (fractional)
Li 0.0000 0.0000 0.0000
Tc 0.2500 0.2500 0.2500
Mo 0.5000 0.5000 0.5000
Mo 0.7500 0.7500 0.7500

Calculated values
**Total magnetization**: 0.00 μB/f.u.
**Raw total energy**: -8.1856 eV/atom

10.
DFT (PBE) results for LiTc2Mo after structural relaxation.

a = 4.3064 Å, b = 4.3064 Å, c = 4.3064 Å
α = 60.00°, β = 60.00°, γ = 60.00°
Element x y z (fractional)
Li 0.0000 0.0000 0.0000
Tc 0.5000 0.5000 0.5000
Tc 0.7500 0.7500 0.7500
Mo 0.2500 0.2500 0.2500

Calculated values
**Total magnetization**: 0.01 μB/f.u.
**Raw total energy**: -8.1049 eV/atom

11.
DFT (PBE) results for Li2TcMo after structural relaxation.

a = 4.2739 Å, b = 4.2739 Å, c = 4.2739 Å
α = 60.00°, β = 60.00°, γ = 60.00°
Element x y z (fractional)
Li 0.0000 0.0000 0.0000
Li 0.2500 0.2500 0.2500
Tc 0.5000 0.5000 0.5000
Mo 0.7500 0.7500 0.7500

Calculated values
**Total magnetization**: 0.01 μB/f.u.
**Raw total energy**: -5.9055 eV/atom

12.
DFT (PBE) results for LiTe5Mo3 after structural relaxation.

a = 5.8445 Å, b = 5.8445 Å, c = 8.2147 Å
α = 90.00°, β = 90.00°, γ = 120.00°
Element x y z (fractional)
Li 0.0000 0.0000 0.0000
Te 0.0000 0.0000 0.5000
Te 0.3333 0.6667 0.2313
Te 0.3333 0.6667 0.7687
Te 0.6667 0.3333 0.2313
Te 0.6667 0.3333 0.7687
Mo 0.0000 0.5000 0.5000
Mo 0.5000 0.0000 0.5000
Mo 0.5000 0.5000 0.5000

Calculated values
**Total magnetization**: 3.78 μB/f.u.
**Raw total energy**: -5.5083 eV/atom

13.
DFT (PBE) results for LiTeMo after structural relaxation.

a = 4.4009 Å, b = 4.4009 Å, c = 4.4009 Å
α = 60.00°, β = 60.00°, γ = 60.00°
Element x y z (fractional)
Li 0.0000 0.0000 0.0000
Te 0.2500 0.2500 0.2500
Mo 0.5000 0.5000 0.5000

Calculated values
**Total magnetization**: 0.09 μB/f.u.
**Offset from the most stable computed form**: 0.00 eV per formula unit

14.
DFT (PBE) results for LiTlTe3Mo after structural relaxation.

a = 7.7566 Å, b = 7.7566 Å, c = 10.6752 Å
α = 90.00°, β = 90.00°, γ = 149.57°
Element x y z (fractional)
Li 0.0433 0.9567 0.7500
Li 0.9567 0.0433 0.2500
Tl 0.2552 0.7448 0.2500
Tl 0.7448 0.2552 0.7500
Te 0.1286 0.8714 0.5323
Te 0.1286 0.8714 0.9677
Te 0.4286 0.5714 0.7500
Te 0.5714 0.4286 0.2500
Te 0.8714 0.1286 0.0323
Te 0.8714 0.1286 0.4677
Mo 0.5000 0.5000 0.0000
Mo 0.5000 0.5000 0.5000

Calculated values
**Total magnetization**: 2.01 μB/f.u.
**Raw total energy**: -4.3208 eV/atom

15.
DFT (PBE) results for LiTlMo after structural relaxation.

a = 4.2926 Å, b = 4.2926 Å, c = 4.2926 Å
α = 60.00°, β = 60.00°, γ = 60.00°
Element x y z (fractional)
Li 0.0000 0.0000 0.0000
Tl 0.2500 0.2500 0.2500
Mo 0.7500 0.7500 0.7500

Calculated values
**Total magnetization**: 2.08 μB/f.u.
**Offset from the most stable computed form**: 0.00 eV per formula unit

16.
DFT (PBE) results for LiTmMo after structural relaxation.

a = 4.3896 Å, b = 4.3896 Å, c = 4.3896 Å
α = 60.00°, β = 60.00°, γ = 60.00°
Element x y z (fractional)
Li 0.0000 0.0000 0.0000
Tm 0.2500 0.2500 0.2500
Mo 0.7500 0.7500 0.7500

Calculated values
**Total magnetization**: 0.14 μB/f.u.
**Offset from the most stable computed form**: 0.00 eV per formula unit

17.
DFT (PBE) results for LiTmMo after structural relaxation.

a = 4.6435 Å, b = 4.6435 Å, c = 4.6435 Å
α = 60.00°, β = 60.00°, γ = 60.00°
Element x y z (fractional)
Li 0.0000 0.0000 0.0000
Tm 0.2500 0.2500 0.2500
Mo 0.5000 0.5000 0.5000

Calculated values
**Total magnetization**: 2.58 μB/f.u.
**Offset from the most stable computed form**: 0.90 eV per formula unit

18.
DFT (PBE) results for LiUMo after structural relaxation.

a = 4.3365 Å, b = 4.3365 Å, c = 4.3365 Å
α = 60.00°, β = 60.00°, γ = 60.00°
Element x y z (fractional)
Li 0.0000 0.0000 0.0000
U 0.2500 0.2500 0.2500
Mo 0.5000 0.5000 0.5000

Calculated values
**Total magnetization**: 0.93 μB/f.u.
**Offset from the most stable computed form**: 1.25 eV per formula unit

19.
DFT (PBE) results for LiUMo after structural relaxation.

a = 4.3194 Å, b = 4.3194 Å, c = 4.3194 Å
α = 60.00°, β = 60.00°, γ = 60.00°
Element x y z (fractional)
Li 0.0000 0.0000 0.0000
U 0.5000 0.5000 0.5000
Mo 0.2500 0.2500 0.2500

Calculated values
**Total magnetization**: 1.00 μB/f.u.
**Offset from the most stable computed form**: 0.00 eV per formula unit

20.
DFT (PBE) results for Li2YMo after structural relaxation.

a = 4.8390 Å, b = 4.8390 Å, c = 4.8390 Å
α = 60.00°, β = 60.00°, γ = 60.00°
Element x y z (fractional)
Li 0.0000 0.0000 0.0000
Li 0.2500 0.2500 0.2500
Y 0.5000 0.5000 0.5000
Mo 0.7500 0.7500 0.7500

Calculated values
**Total magnetization**: 2.87 μB/f.u.
**Raw total energy**: -4.6642 eV/atom